VASP calculation (GGA-PBE) on a geometry-optimized ZrSi3Sb structure.

Cell and atoms, written as CIF:
```
data_ZrSi3Sb
_cell_length_a 5.099
_cell_length_b 5.099
_cell_length_c 5.099
_cell_angle_alpha 90.00
_cell_angle_beta 90.00
_cell_angle_gamma 90.00
_space_group_name_H-M_alt 'P m -3 m'
_space_group_IT_number 221
_space_group_name_Hall '-P 4 2 3'
loop_
_atom_site_label
_atom_site_type_symbol
_atom_site_fract_x
_atom_site_fract_y
_atom_site_fract_z
Zr1 Zr 0.000 0.000 0.000
Si1 Si 0.000 0.000 0.500
Sb1 Sb 0.500 0.500 0.500
```

## Properties
formation energy without anion corrections	873.7	meV per atom
electronic total energy	-0.3612	Ry/atom
offset from the most stable computed form	0.0	kJ per mole of atoms